No. 1
VASP calculation (PBE) on a relaxed structure of TaTiGa2.

Summary:
- DOS at the Fermi energy: 3.74 states/eV per cell
- Formation enthalpy at 0 K: -0.35 eV/f.u.
- Raw total energy: -6.54 eV/atom

The structure in POSCAR format:
```
TaTiGa2
1.0
0.000 3.194 3.194
3.194 0.000 3.194
3.194 3.194 0.000
Ti Ga Ta
1 2 1
Direct
0.000 0.000 0.000
0.750 0.750 0.750
0.250 0.250 0.250
0.500 0.500 0.500
```

---

No. 2
VASP calculation (PBE) on a relaxed structure of TaTi5Ga6.

Summary:
- DOS at the Fermi energy: 8.70 states/eV per cell
- Formation enthalpy at 0 K: -2.89 eV/f.u.
- Raw total energy: -6.03 eV/atom

The structure in POSCAR format:
```
TaTi5Ga6
1.0
5.188 -0.120 0.000
1.536 8.956 0.000
0.768 4.478 4.284
Ti Ta Ga
5 1 6
Direct
0.500 0.834 0.332
0.500 0.500 0.000
0.000 0.669 0.661
0.500 0.166 0.668
0.000 0.331 0.339
0.000 0.000 0.000
0.247 0.252 0.000
0.753 0.748 0.000
0.748 0.086 0.331
0.252 0.583 0.331
0.252 0.914 0.669
0.748 0.417 0.669
```

---

No. 3
VASP calculation (PBE) on a relaxed structure of TaTi3Ga3.

Summary:
- DOS at the Fermi energy: 6.97 states/eV per cell
- Formation enthalpy at 0 K: -1.82 eV/f.u.
- Raw total energy: -6.63 eV/atom

The structure in POSCAR format:
```
TaTi3Ga3
1.0
4.575 0.000 0.000
0.000 7.591 0.000
0.000 -3.796 6.574
Ga Ta Ti
6 2 6
Direct
0.250 0.543 0.919
0.250 0.377 0.457
0.750 0.623 0.543
0.750 0.457 0.081
0.750 0.919 0.377
0.250 0.081 0.623
0.250 0.667 0.333
0.750 0.333 0.667
0.250 0.236 0.020
0.750 0.020 0.784
0.250 0.784 0.764
0.750 0.764 0.980
0.750 0.216 0.236
0.250 0.980 0.216
```

---

No. 4
VASP calculation (PBE) on a relaxed structure of TaTi5Ga4.

Summary:
- DOS at the Fermi energy: 7.96 states/eV per cell
- Formation enthalpy at 0 K: -3.38 eV/f.u.
- Raw total energy: -6.68 eV/atom

The structure in POSCAR format:
```
TaTi5Ga4
1.0
-1.068 2.911 1.251
-2.983 -1.368 0.638
4.631 -3.960 13.166
Ta Ti Ga
1 5 4
Direct
0.000 0.000 0.000
0.500 0.500 0.309
0.500 0.500 0.500
0.500 0.500 0.107
0.500 0.500 0.691
0.500 0.500 0.893
0.000 0.000 0.596
0.000 0.000 0.404
0.000 0.000 0.796
0.000 0.000 0.204
```